No. 1
A relaxed Ca8Cd crystal, computed with PBE.

**Formation energy from the elements**: -0.041 eV per atom
**Total magnetic moment**: 0.000 Bohr magnetons per cell

Cell lengths 9.169, 9.169, 9.169 Å; angles 93.24, 93.24, 152.50 degrees
Fractional positions:
Ca: 0.000 0.333 0.333
Ca: 0.000 0.667 0.667
Ca: 0.333 0.000 0.333
Ca: 0.347 0.347 0.694
Ca: 0.347 0.653 0.000
Ca: 0.653 0.347 0.000
Ca: 0.653 0.653 0.306
Ca: 0.667 0.000 0.667
Cd: 0.000 0.000 0.000


No. 2
A relaxed Ca5Cd crystal, computed with PBE.

**Formation energy from the elements**: -0.069 eV per atom
**Total magnetic moment**: 0.000 Bohr magnetons per cell

Cell lengths 8.283, 8.283, 5.316 Å; angles 90.00, 90.00, 142.97 degrees
Fractional positions:
Ca: 0.000 0.000 0.000
Ca: 0.156 0.844 0.500
Ca: 0.339 0.661 0.000
Ca: 0.661 0.339 0.000
Ca: 0.844 0.156 0.500
Cd: 0.500 0.500 0.500


No. 3
A relaxed CaCd12 crystal, computed with PBE.

**Formation energy from the elements**: -0.087 eV per atom
**Total magnetic moment**: 0.000 Bohr magnetons per cell

Cell lengths 7.729, 7.729, 7.729 Å; angles 98.61, 98.61, 134.48 degrees
Fractional positions:
Ca: 0.000 0.000 0.000
Cd: 0.000 0.000 0.500
Cd: 0.000 0.352 0.352
Cd: 0.000 0.500 0.000
Cd: 0.000 0.648 0.648
Cd: 0.287 0.500 0.787
Cd: 0.352 0.000 0.352
Cd: 0.500 0.000 0.000
Cd: 0.500 0.287 0.787
Cd: 0.500 0.500 0.500
Cd: 0.500 0.713 0.213
Cd: 0.648 0.000 0.648
Cd: 0.713 0.500 0.213


No. 4
A relaxed Ca3Cd2 crystal, computed with PBE.

**Formation energy from the elements**: -0.229 eV per atom
**Total magnetic moment**: 0.000 Bohr magnetons per cell

Cell lengths 5.404, 5.404, 6.526 Å; angles 90.00, 90.00, 120.00 degrees
Fractional positions:
Ca: 0.000 0.000 0.000
Ca: 0.333 0.667 0.340
Ca: 0.667 0.333 0.660
Cd: 0.333 0.667 0.851
Cd: 0.667 0.333 0.149


No. 5
A relaxed Ca5Cd6 crystal, computed with PBE.

**Formation energy from the elements**: -0.241 eV per atom
**Total magnetic moment**: 0.000 Bohr magnetons per cell

Cell lengths 9.163, 9.163, 5.418 Å; angles 107.17, 107.17, 119.83 degrees
Fractional positions:
Ca: 0.000 0.000 0.000
Ca: 0.159 0.841 0.500
Ca: 0.310 0.690 0.000
Ca: 0.690 0.310 0.000
Ca: 0.841 0.159 0.500
Cd: 0.144 0.437 0.290
Cd: 0.294 0.294 0.793
Cd: 0.437 0.144 0.290
Cd: 0.563 0.856 0.710
Cd: 0.706 0.706 0.207
Cd: 0.856 0.563 0.710


No. 6
A relaxed Ca5Cd crystal, computed with PBE.

**Formation energy from the elements**: -0.115 eV per atom
**Total magnetic moment**: 0.000 Bohr magnetons per cell

Cell lengths 3.905, 3.905, 14.732 Å; angles 90.00, 90.00, 90.00 degrees
Fractional positions:
Ca: 0.000 0.000 0.000
Ca: 0.000 0.000 0.375
Ca: 0.000 0.000 0.625
Ca: 0.500 0.500 0.187
Ca: 0.500 0.500 0.813
Cd: 0.500 0.500 0.500